1.
DFT (GGA-PBEsol) results for a relaxed Li7Mo4P9O32 crystal.

Output
Its space group is P-42_1c, No. 114. The total DFT energy (no corrections) comes out at -7.49 eV per atom. As for the crystal system: tetragonal.

CIF file:
```
data_Li7Mo4P9O32
_chemical_formula_sum 'Li14 Mo8 P18 O64'
_cell_length_a 13.7820
_cell_length_b 13.7820
_cell_length_c 6.4775
_cell_angle_alpha 90.00
_cell_angle_beta 90.00
_cell_angle_gamma 90.00
_space_group_name_H-M_alt 'P 1'
_space_group_IT_number 1
_space_group_name_Hall 'P 1'
loop_
_atom_site_label
_atom_site_type_symbol
_atom_site_fract_x
_atom_site_fract_y
_atom_site_fract_z
_atom_site_occupancy
Li1 Li 0.0000 0.0000 0.0000 1
Li2 Li 0.0000 0.5000 0.1320 1
Li3 Li 0.0000 0.5000 0.6320 1
Li4 Li 0.1102 0.2494 0.8057 1
Li5 Li 0.2494 0.8898 0.1943 1
Li6 Li 0.2506 0.3898 0.3057 1
Li7 Li 0.3898 0.7494 0.6943 1
Li8 Li 0.5000 0.0000 0.3680 1
Li9 Li 0.5000 0.0000 0.8680 1
Li10 Li 0.5000 0.5000 0.5000 1
Li11 Li 0.6102 0.2506 0.6943 1
Li12 Li 0.7494 0.6102 0.3057 1
Li13 Li 0.7506 0.1102 0.1943 1
Li14 Li 0.8898 0.7506 0.8057 1
Mo1 Mo 0.1197 0.7989 0.6194 1
Mo2 Mo 0.2011 0.1197 0.3806 1
Mo3 Mo 0.2989 0.6197 0.1194 1
Mo4 Mo 0.3803 0.2989 0.8806 1
Mo5 Mo 0.6197 0.7011 0.8806 1
Mo6 Mo 0.7011 0.3803 0.1194 1
Mo7 Mo 0.7989 0.8803 0.3806 1
Mo8 Mo 0.8803 0.2011 0.6194 1
P1 P 0.0000 0.0000 0.5000 1
P2 P 0.0650 0.3091 0.3850 1
P3 P 0.1004 0.7497 0.1296 1
P4 P 0.1909 0.4350 0.8850 1
P5 P 0.2503 0.1004 0.8704 1
P6 P 0.2497 0.6004 0.6296 1
P7 P 0.3091 0.9350 0.6150 1
P8 P 0.3996 0.2497 0.3704 1
P9 P 0.4350 0.8091 0.1150 1
P10 P 0.5000 0.5000 0.0000 1
P11 P 0.5650 0.1909 0.1150 1
P12 P 0.6004 0.7503 0.3704 1
P13 P 0.6909 0.0650 0.6150 1
P14 P 0.7503 0.3996 0.6296 1
P15 P 0.7497 0.8996 0.8704 1
P16 P 0.8091 0.5650 0.8850 1
P17 P 0.8996 0.2503 0.1296 1
P18 P 0.9350 0.6909 0.3850 1
O1 O 0.0122 0.2700 0.1772 1
O2 O 0.0205 0.2570 0.5729 1
O3 O 0.0587 0.4182 0.3879 1
O4 O 0.0619 0.0633 0.3523 1
O5 O 0.0633 0.9381 0.6477 1
O6 O 0.0818 0.4413 0.8879 1
O7 O 0.0981 0.8099 0.9335 1
O8 O 0.1396 0.8149 0.3027 1
O9 O 0.1501 0.6519 0.1142 1
O10 O 0.1519 0.6501 0.6142 1
O11 O 0.1698 0.2722 0.3547 1
O12 O 0.1851 0.1396 0.6973 1
O13 O 0.1901 0.0981 0.0665 1
O14 O 0.2278 0.3302 0.8547 1
O15 O 0.2300 0.4878 0.6772 1
O16 O 0.2430 0.4795 0.0729 1
O17 O 0.2570 0.9795 0.4271 1
O18 O 0.2700 0.9878 0.8228 1
O19 O 0.2722 0.8302 0.6453 1
O20 O 0.3099 0.5981 0.4335 1
O21 O 0.3149 0.6396 0.8027 1
O22 O 0.3302 0.7722 0.1453 1
O23 O 0.3481 0.1501 0.8858 1
O24 O 0.3499 0.1519 0.3858 1
O25 O 0.3604 0.3149 0.1973 1
O26 O 0.4019 0.3099 0.5665 1
O27 O 0.4182 0.9413 0.6121 1
O28 O 0.4367 0.4381 0.8523 1
O29 O 0.4381 0.5633 0.1477 1
O30 O 0.4413 0.9182 0.1121 1
O31 O 0.4795 0.7570 0.9271 1
O32 O 0.4878 0.7700 0.3228 1
O33 O 0.5122 0.2300 0.3228 1
O34 O 0.5205 0.2430 0.9271 1
O35 O 0.5587 0.0818 0.1121 1
O36 O 0.5619 0.4367 0.1477 1
O37 O 0.5633 0.5619 0.8523 1
O38 O 0.5818 0.0587 0.6121 1
O39 O 0.5981 0.6901 0.5665 1
O40 O 0.6396 0.6851 0.1973 1
O41 O 0.6501 0.8481 0.3858 1
O42 O 0.6519 0.8499 0.8858 1
O43 O 0.6698 0.2278 0.1453 1
O44 O 0.6851 0.3604 0.8027 1
O45 O 0.6901 0.4019 0.4335 1
O46 O 0.7278 0.1698 0.6453 1
O47 O 0.7300 0.0122 0.8228 1
O48 O 0.7430 0.0205 0.4271 1
O49 O 0.7570 0.5205 0.0729 1
O50 O 0.7700 0.5122 0.6772 1
O51 O 0.7722 0.6698 0.8547 1
O52 O 0.8099 0.9019 0.0665 1
O53 O 0.8149 0.8604 0.6973 1
O54 O 0.8302 0.7278 0.3547 1
O55 O 0.8481 0.3499 0.6142 1
O56 O 0.8499 0.3481 0.1142 1
O57 O 0.8604 0.1851 0.3027 1
O58 O 0.9019 0.1901 0.9335 1
O59 O 0.9182 0.5587 0.8879 1
O60 O 0.9367 0.0619 0.6477 1
O61 O 0.9381 0.9367 0.3523 1
O62 O 0.9413 0.5818 0.3879 1
O63 O 0.9795 0.7430 0.5729 1
O64 O 0.9878 0.7300 0.1772 1
```

***

2.
DFT (GGA-PBEsol) results for a relaxed LiMo2P3O12 crystal.

Output
The value obtained for the excess energy over the best structure of this formula in the dataset is 0.11 kcal/mol of atoms. Its space group is P-1, No. 2. The total DFT energy (no corrections) comes out at -7.96 eV per atom. As for the crystal system: triclinic.

CIF file:
```
data_LiMo2P3O12
_chemical_formula_sum 'Li2 Mo4 P6 O24'
_cell_length_a 8.5535
_cell_length_b 8.5648
_cell_length_c 8.8940
_cell_angle_alpha 90.86
_cell_angle_beta 118.55
_cell_angle_gamma 119.17
_space_group_name_H-M_alt 'P 1'
_space_group_IT_number 1
_space_group_name_Hall 'P 1'
loop_
_atom_site_label
_atom_site_type_symbol
_atom_site_fract_x
_atom_site_fract_y
_atom_site_fract_z
_atom_site_occupancy
Li1 Li 0.1477 0.1860 0.4069 1
Li2 Li 0.8523 0.8140 0.5931 1
Mo1 Mo 0.2917 0.6430 0.4323 1
Mo2 Mo 0.2952 0.1395 0.9285 1
Mo3 Mo 0.7048 0.8605 0.0715 1
Mo4 Mo 0.7083 0.3570 0.5677 1
P1 P 0.2139 0.7429 0.7553 1
P2 P 0.2219 0.9759 0.2537 1
P3 P 0.4915 0.4587 0.7452 1
P4 P 0.5085 0.5413 0.2548 1
P5 P 0.7781 0.0241 0.7463 1
P6 P 0.7861 0.2571 0.2447 1
O1 O 0.0062 0.9238 0.2214 1
O2 O 0.0258 0.5474 0.7171 1
O3 O 0.1503 0.8861 0.7470 1
O4 O 0.2258 0.9982 0.0851 1
O5 O 0.2662 0.8272 0.3086 1
O6 O 0.2671 0.7438 0.6128 1
O7 O 0.3281 0.4575 0.5609 1
O8 O 0.3302 0.5350 0.2635 1
O9 O 0.3507 0.2664 0.7580 1
O10 O 0.3836 0.1690 0.4093 1
O11 O 0.4057 0.3770 0.0958 1
O12 O 0.4122 0.8054 0.9440 1
O13 O 0.5878 0.1946 0.0560 1
O14 O 0.5943 0.6230 0.9042 1
O15 O 0.6164 0.8310 0.5907 1
O16 O 0.6493 0.7336 0.2420 1
O17 O 0.6698 0.4650 0.7365 1
O18 O 0.6719 0.5425 0.4391 1
O19 O 0.7329 0.2562 0.3872 1
O20 O 0.7338 0.1728 0.6914 1
O21 O 0.7742 0.0018 0.9149 1
O22 O 0.8497 0.1139 0.2530 1
O23 O 0.9742 0.4526 0.2829 1
O24 O 0.9938 0.0762 0.7786 1
```

***

3.
DFT (GGA-PBEsol) results for a relaxed LiMo2P3O12 crystal.

Output
The value obtained for the excess energy over the best structure of this formula in the dataset is 0.08 kcal/mol of atoms. Its space group is C2, No. 5. The total DFT energy (no corrections) comes out at -7.96 eV per atom. As for the crystal system: monoclinic.

CIF file:
```
data_LiMo2P3O12
_chemical_formula_sum 'Li2 Mo4 P6 O24'
_cell_length_a 8.6413
_cell_length_b 8.6413
_cell_length_c 8.6304
_cell_angle_alpha 119.53
_cell_angle_beta 119.53
_cell_angle_gamma 60.47
_space_group_name_H-M_alt 'P 1'
_space_group_IT_number 1
_space_group_name_Hall 'P 1'
loop_
_atom_site_label
_atom_site_type_symbol
_atom_site_fract_x
_atom_site_fract_y
_atom_site_fract_z
_atom_site_occupancy
Li1 Li 0.2473 0.2473 0.2457 1
Li2 Li 0.7527 0.7527 0.7543 1
Mo1 Mo 0.0842 0.1362 0.3901 1
Mo2 Mo 0.3640 0.4158 0.1102 1
Mo3 Mo 0.5842 0.6360 0.8898 1
Mo4 Mo 0.8638 0.9158 0.6099 1
P1 P 0.1838 0.8162 0.0000 1
P2 P 0.2649 0.7351 0.5000 1
P3 P 0.4745 0.2355 0.7086 1
P4 P 0.6837 0.0249 0.2091 1
P5 P 0.7645 0.5255 0.2914 1
P6 P 0.9751 0.3163 0.7909 1
O1 O 0.0325 0.2803 0.6310 1
O2 O 0.1034 0.7729 0.5561 1
O3 O 0.1379 0.3323 0.9812 1
O4 O 0.1672 0.0078 0.1618 1
O5 O 0.2210 0.6572 0.0587 1
O6 O 0.2271 0.8966 0.4439 1
O7 O 0.2837 0.5448 0.3376 1
O8 O 0.3133 0.2160 0.5167 1
O9 O 0.3428 0.7790 0.9413 1
O10 O 0.4168 0.2740 0.8692 1
O11 O 0.4552 0.7163 0.6624 1
O12 O 0.4916 0.1860 0.1908 1
O13 O 0.5307 0.3966 0.7457 1
O14 O 0.6034 0.4693 0.2543 1
O15 O 0.6377 0.0461 0.6916 1
O16 O 0.6677 0.8621 0.0188 1
O17 O 0.7197 0.9675 0.3690 1
O18 O 0.7260 0.5832 0.1308 1
O19 O 0.7840 0.6867 0.4833 1
O20 O 0.8140 0.5084 0.8092 1
O21 O 0.8432 0.0837 0.2480 1
O22 O 0.9163 0.1568 0.7520 1
O23 O 0.9539 0.3623 0.3084 1
O24 O 0.9922 0.8328 0.8382 1
```

***

4.
DFT (GGA-PBEsol) results for a relaxed LiMo2P3O12 crystal.

Output
The value obtained for the excess energy over the best structure of this formula in the dataset is 0.08 kcal/mol of atoms. Its space group is Cc, No. 9. The total DFT energy (no corrections) comes out at -7.96 eV per atom. As for the crystal system: monoclinic.

CIF file:
```
data_LiMo2P3O12
_chemical_formula_sum 'Li2 Mo4 P6 O24'
_cell_length_a 8.6422
_cell_length_b 8.6422
_cell_length_c 8.6348
_cell_angle_alpha 119.55
_cell_angle_beta 119.55
_cell_angle_gamma 60.48
_space_group_name_H-M_alt 'P 1'
_space_group_IT_number 1
_space_group_name_Hall 'P 1'
loop_
_atom_site_label
_atom_site_type_symbol
_atom_site_fract_x
_atom_site_fract_y
_atom_site_fract_z
_atom_site_occupancy
Li1 Li 0.2208 0.7792 0.5000 1
Li2 Li 0.7792 0.2208 0.0000 1
Mo1 Mo 0.1126 0.6101 0.6442 1
Mo2 Mo 0.3922 0.8898 0.3643 1
Mo3 Mo 0.6101 0.1126 0.1442 1
Mo4 Mo 0.8898 0.3922 0.8643 1
P1 P 0.0011 0.7922 0.0451 1
P2 P 0.2100 0.2909 0.2536 1
P3 P 0.2909 0.2100 0.7536 1
P4 P 0.5007 0.7113 0.9635 1
P5 P 0.7113 0.5007 0.4635 1
P6 P 0.7922 0.0011 0.5451 1
O1 O 0.0192 0.3059 0.0903 1
O2 O 0.0602 0.7538 0.8857 1
O3 O 0.1297 0.2496 0.8109 1
O4 O 0.1618 0.8109 0.2375 1
O5 O 0.1894 0.4819 0.4148 1
O6 O 0.2496 0.1297 0.3109 1
O7 O 0.2558 0.3694 0.6966 1
O8 O 0.3059 0.0192 0.5903 1
O9 O 0.3376 0.6943 0.7735 1
O10 O 0.3694 0.2558 0.1966 1
O11 O 0.4448 0.7472 0.1242 1
O12 O 0.4819 0.1894 0.9148 1
O13 O 0.5217 0.6632 0.4440 1
O14 O 0.5569 0.8732 0.0026 1
O15 O 0.6333 0.9424 0.5081 1
O16 O 0.6632 0.5217 0.9440 1
O17 O 0.6943 0.3376 0.2735 1
O18 O 0.7472 0.4448 0.6242 1
O19 O 0.7538 0.0602 0.3857 1
O20 O 0.8109 0.1618 0.7375 1
O21 O 0.8392 0.9837 0.0611 1
O22 O 0.8732 0.5569 0.5026 1
O23 O 0.9424 0.6333 0.0081 1
O24 O 0.9837 0.8392 0.5611 1
```

***

5.
DFT (GGA-PBEsol) results for a relaxed Li3MoP2O8 crystal.

Output
The value obtained for the excess energy over the best structure of this formula in the dataset is 0.00 kcal/mol of atoms. Its space group is C2/m, No. 12. The total DFT energy (no corrections) comes out at -7.25 eV per atom. As for the crystal system: monoclinic.

CIF file:
```
data_Li3MoP2O8
_chemical_formula_sum 'Li3 Mo1 P2 O8'
_cell_length_a 4.9748
_cell_length_b 4.9748
_cell_length_c 6.1302
_cell_angle_alpha 90.06
_cell_angle_beta 90.06
_cell_angle_gamma 66.87
_space_group_name_H-M_alt 'P 1'
_space_group_IT_number 1
_space_group_name_Hall 'P 1'
loop_
_atom_site_label
_atom_site_type_symbol
_atom_site_fract_x
_atom_site_fract_y
_atom_site_fract_z
_atom_site_occupancy
Li1 Li 0.0000 0.0000 0.0000 1
Li2 Li 0.3321 0.3321 0.7789 1
Li3 Li 0.6679 0.6679 0.2211 1
Mo1 Mo 0.0000 0.0000 0.5000 1
P1 P 0.3502 0.3502 0.2636 1
P2 P 0.6498 0.6498 0.7364 1
O1 O 0.2418 0.2418 0.0656 1
O2 O 0.2416 0.6932 0.2617 1
O3 O 0.2514 0.2514 0.4778 1
O4 O 0.3068 0.7584 0.7383 1
O5 O 0.6932 0.2416 0.2617 1
O6 O 0.7486 0.7486 0.5222 1
O7 O 0.7584 0.3068 0.7383 1
O8 O 0.7582 0.7582 0.9344 1
```

***

6.
DFT (GGA-PBEsol) results for a relaxed LiMoP2WO11 crystal.

Output
Its space group is Cm, No. 8. The total DFT energy (no corrections) comes out at -8.22 eV per atom. As for the crystal system: monoclinic.

CIF file:
```
data_LiMoP2WO11
_chemical_formula_sum 'Li1 Mo1 P2 W1 O11'
_cell_length_a 5.1912
_cell_length_b 5.1912
_cell_length_c 7.7248
_cell_angle_alpha 100.08
_cell_angle_beta 100.08
_cell_angle_gamma 75.83
_space_group_name_H-M_alt 'P 1'
_space_group_IT_number 1
_space_group_name_Hall 'P 1'
loop_
_atom_site_label
_atom_site_type_symbol
_atom_site_fract_x
_atom_site_fract_y
_atom_site_fract_z
_atom_site_occupancy
Li1 Li 0.0000 0.0000 0.0000 1
Mo1 Mo 0.3530 0.3530 0.7894 1
P1 P 0.2555 0.2555 0.3401 1
P2 P 0.7585 0.7585 0.6809 1
W1 W 0.6586 0.6586 0.2274 1
O1 O 0.0486 0.6746 0.7774 1
O2 O 0.1828 0.1828 0.8777 1
O3 O 0.2395 0.2395 0.5339 1
O4 O 0.3443 0.9658 0.2425 1
O5 O 0.4361 0.4361 0.3239 1
O6 O 0.5087 0.5087 0.0123 1
O7 O 0.5781 0.5781 0.6975 1
O8 O 0.6746 0.0486 0.7774 1
O9 O 0.7698 0.7698 0.4834 1
O10 O 0.8381 0.8381 0.1442 1
O11 O 0.9658 0.3443 0.2425 1
```

***

Which of these has the lowest total DFT energy (no corrections)? LiMoP2WO11

***

Which value of total DFT energy (no corrections) does entry 5 give? -7.25 eV per atom

***

Which of these has the lowest total DFT energy (no corrections)? LiMoP2WO11

***

Which value of total DFT energy (no corrections) does entry 3 give? -7.96 eV per atom